9
Lattice="-3.6376 0.4751 5.2451 1.6619 -5.9453 1.6911 4.9975 2.3229 3.2554" Properties=species:S:1:pos:R:3 comment="GGA-PBE CsOsAu3S4, optimized geometry" magmom_total_mub_per_atom=0.00 sg="No. 215" pbc="T T T"
Os 1.5109 -1.5736 5.0958
S 0.9021 -0.9395 3.0425
S 0.1060 -3.1438 5.8374
S 1.4501 0.1879 6.4678
S 3.5855 -2.3992 5.0357
Au 0.6800 1.3990 4.2503
Au 3.3297 -1.8112 2.4733
Au -0.9879 -2.7351 3.4681
Cs 0.0000 0.0000 0.0000

***

5
Lattice="3.8937 0.0000 0.0000 0.0000 3.8937 0.0000 0.0000 0.0000 5.3047" Properties=species:S:1:pos:R:3 comment="GGA-PBE UBPt3, optimized geometry" magmom_total_mub_per_atom=0.33 sg="No. 99" pbc="T T T"
Pt 1.9469 0.0000 3.2677
Pt 0.0000 1.9469 3.2677
Pt 0.0000 0.0000 0.0127
U 1.9469 1.9469 0.9023
B 0.0000 0.0000 2.1563

***

8
Lattice="4.5917 0.0000 0.0000 0.0000 7.5282 0.0000 0.0000 0.0000 6.5333" Properties=species:S:1:pos:R:3 comment="GGA-PBE BaTmPO, optimized geometry" magmom_total_mub_per_atom=0.00 sg="No. 26" pbc="T T T"
O 2.2959 6.6157 2.3120
O 2.2959 0.9125 5.5787
P 0.0000 5.4379 6.0855
P 0.0000 2.0903 2.8189
Tm 2.2959 6.6302 0.1596
Tm 2.2959 0.8980 3.4263
Ba 0.0000 5.2858 2.9022
Ba 0.0000 2.2424 6.1689

***

6
Lattice="3.1542 0.0000 0.0000 -1.5771 2.7316 0.0000 0.0000 0.0000 7.5154" Properties=species:S:1:pos:R:3 comment="GGA-PBE PmTaB4, optimized geometry" magmom_total_mub_per_atom=0.00 sg="No. 191" pbc="T T T"
B 1.5771 0.9105 1.6467
B 0.0000 1.8211 1.6467
B 0.0000 1.8211 5.8687
B 1.5771 0.9105 5.8687
Pm 0.0000 0.0000 3.7577
Ta 0.0000 0.0000 0.0000

***

4
Lattice="0.0000 3.0638 3.0638 3.0638 0.0000 3.0638 3.0638 3.0638 0.0000" Properties=species:S:1:pos:R:3 comment="GGA-PBE AlCoAgPd, optimized geometry" magmom_total_mub_per_atom=0.01 sg="No. 216" pbc="T T T"
Al 0.0000 0.0000 0.0000
Pd 1.5319 1.5319 1.5319
Co 4.5957 4.5957 4.5957
Ag 3.0638 3.0638 3.0638

***

6
Lattice="-1.3920 2.6828 0.7927 -1.6491 -2.2680 -1.3786 -1.7418 -2.9565 6.9476" Properties=species:S:1:pos:R:3 comment="GGA-PBE ThSiB4, optimized geometry" magmom_total_mub_per_atom=0.00 sg="No. 191" pbc="T T T"
B -1.8496 0.4014 1.5521
B -1.9352 -1.2489 0.8283
B -2.9334 -2.9431 4.8097
B -2.8477 -1.2928 5.5334
Si 0.0000 0.0000 0.0000
Th -0.8709 -1.4783 3.4738

***

10
Lattice="-2.9493 -4.5579 1.1116 -3.5193 -0.0476 4.2803 -5.4664 -0.0529 -0.9079" Properties=species:S:1:pos:R:3 comment="GGA-PBE K2NaFeH6, optimized geometry" magmom_total_mub_per_atom=0.10 sg="No. 225" pbc="T T T"
Na -5.9675 -2.3292 2.2420
K -8.9512 -3.4938 3.3631
K -2.9837 -1.1646 1.1210
H -4.5304 -0.9899 3.4385
H -6.2616 -3.6653 4.0910
H -7.7391 -1.0210 2.9056
H -7.4046 -3.6685 1.0456
H -4.1959 -3.6374 1.5785
H -5.6734 -0.9931 0.3931
Fe 0.0000 0.0000 0.0000

***

3
Lattice="-5.1394 0.0783 0.9363 -3.3289 1.3146 -3.8061 -3.0986 -3.6281 -2.1288" Properties=species:S:1:pos:R:3 comment="GGA-PBE GdSnTe, optimized geometry" magmom_total_mub_per_atom=0.00 sg="No. 216" pbc="T T T"
Gd 0.0000 0.0000 0.0000
Te -8.6753 -1.6765 -3.7490
Sn -2.8917 -0.5588 -1.2497

***

The evaluated total DFT energy (no corrections) for the records listed, in turn: -4.24; -7.86; -6.26; -7.87; -4.87; -6.50; -3.33; -4.32 eV/atom.